(1)
{
  "formula": "Pm2ZnSn4",
  "functional": "GGA-PBE",
  "state": "optimized geometry",
  "lattice": [[-0.8350, 4.0506, -1.8243], [-4.2861, -1.2227, -0.7530], [-2.3679, 3.2242, 8.2429]],
  "species": ["Sn", "Sn", "Sn", "Sn", "Zn", "Pm", "Pm"],
  "fractional_positions": [[0.0000, 0.5000, 0.8237], [0.5000, 0.5000, 0.5000], [0.0000, 0.0000, 0.5000], [0.5000, 0.0000, 0.1763], [0.5000, 0.5000, 0.0000], [0.5000, 0.0000, 0.7766], [0.0000, 0.5000, 0.2234]],
  "space_group": "P-4m2"
}



(2)
{
  "formula": "Pm3Zn4Sn2",
  "functional": "GGA-PBE",
  "state": "optimized geometry",
  "lattice": [[-0.6258, 0.6089, 4.4967], [-4.4724, -3.1996, -2.5223], [6.6756, -5.4516, 1.6671]],
  "species": ["Pm", "Pm", "Pm", "Zn", "Zn", "Zn", "Zn", "Sn", "Sn"],
  "fractional_positions": [[0.3317, 0.6635, 0.3322], [0.0000, 0.0000, 0.0000], [0.6683, 0.3365, 0.6678], [0.9751, 0.9501, 0.6301], [0.7442, 0.4884, 0.0627], [0.0249, 0.0499, 0.3699], [0.2558, 0.5116, 0.9373], [0.6133, 0.2266, 0.2769], [0.3867, 0.7734, 0.7231]],
  "space_group": "C2/m"
}



(3)
{
  "formula": "Pm2Zn2Sn",
  "functional": "GGA-PBE",
  "state": "optimized geometry",
  "lattice": [[7.2642, 0.0000, 0.0000], [0.0000, 7.2642, 0.0000], [0.0000, 0.0000, 9.1900]],
  "species": ["Pm", "Pm", "Pm", "Pm", "Pm", "Pm", "Pm", "Pm", "Zn", "Zn", "Zn", "Zn", "Zn", "Zn", "Zn", "Zn", "Sn", "Sn", "Sn", "Sn"],
  "fractional_positions": [[0.8260, 0.3261, 0.0000], [0.1739, 0.6740, 0.5000], [0.3261, 0.1740, 0.0000], [0.6739, 0.8260, 0.0000], [0.8261, 0.3260, 0.5000], [0.1740, 0.6739, 0.0000], [0.3260, 0.1739, 0.5000], [0.6740, 0.8261, 0.5000], [0.8775, 0.6225, 0.7500], [0.3775, 0.8775, 0.2500], [0.6225, 0.1225, 0.2500], [0.1225, 0.3775, 0.2500], [0.8775, 0.6225, 0.2500], [0.1225, 0.3775, 0.7500], [0.6225, 0.1225, 0.7500], [0.3775, 0.8775, 0.7500], [0.5000, 0.5000, 0.7500], [0.0000, 0.0000, 0.7500], [0.0000, 0.0000, 0.2500], [0.5000, 0.5000, 0.2500]],
  "space_group": "P4/mbm",
  "polymorph_energy_ev_per_fu": 0.000
}



(4)
{
  "formula": "Pm3Zn9Sn2",
  "functional": "GGA-PBE",
  "state": "optimized geometry",
  "lattice": [[4.2065, 0.0000, 1.1738], [1.4585, 7.8387, 2.8975], [-0.0987, -0.2827, 8.4781]],
  "species": ["Sn", "Sn", "Zn", "Zn", "Zn", "Zn", "Zn", "Zn", "Zn", "Zn", "Zn", "Pm", "Pm", "Pm"],
  "fractional_positions": [[0.5000, 0.7115, 0.2885], [0.5000, 0.2885, 0.7115], [0.8467, 0.4187, 0.8878], [0.0000, 0.5000, 0.5000], [0.8467, 0.8878, 0.4187], [0.3348, 0.0408, 0.2896], [0.3348, 0.2896, 0.0408], [0.1533, 0.5813, 0.1122], [0.6652, 0.7104, 0.9592], [0.6652, 0.9592, 0.7104], [0.1533, 0.1122, 0.5813], [0.3081, 0.6919, 0.6919], [0.6919, 0.3081, 0.3081], [0.0000, 0.0000, 0.0000]],
  "space_group": "Immm"
}



(5)
{
  "formula": "Pm3ZnSn3",
  "functional": "GGA-PBE",
  "state": "optimized geometry",
  "lattice": [[-4.0946, 0.4330, -4.7962], [0.6449, -9.0923, -1.3713], [-6.3783, 3.3531, 5.7480]],
  "species": ["Zn", "Zn", "Pm", "Pm", "Pm", "Pm", "Pm", "Pm", "Sn", "Sn", "Sn", "Sn", "Sn", "Sn"],
  "fractional_positions": [[0.2500, 0.6667, 0.3333], [0.7500, 0.3333, 0.6667], [0.2500, 0.6308, 0.9442], [0.7500, 0.6865, 0.6308], [0.2500, 0.3135, 0.3692], [0.7500, 0.9442, 0.3135], [0.2500, 0.0558, 0.6865], [0.7500, 0.3692, 0.0558], [0.7500, 0.6443, 0.9462], [0.2500, 0.3557, 0.0538], [0.7500, 0.0538, 0.6981], [0.7500, 0.3019, 0.3557], [0.2500, 0.6981, 0.6443], [0.2500, 0.9462, 0.3019]],
  "space_group": "P6_3/m",
  "polymorph_energy_ev_per_fu": 2.030
}



(6)
{
  "formula": "Pm6ZnSn2",
  "functional": "GGA-PBE",
  "state": "optimized geometry",
  "lattice": [[-0.2207, -4.0562, -1.7441], [8.4402, -0.4917, 0.0756], [-4.4481, -2.6347, 6.6902]],
  "species": ["Sn", "Sn", "Zn", "Pm", "Pm", "Pm", "Pm", "Pm", "Pm"],
  "fractional_positions": [[0.0000, 0.3334, 0.6667], [0.0000, 0.6667, 0.3333], [0.5000, 0.9999, 0.0000], [0.0000, 0.2487, 0.0000], [0.0000, 0.0000, 0.2488], [0.0000, 0.7512, 0.7512], [0.5000, 0.5870, 0.0000], [0.5000, 0.4130, 0.4130], [0.5000, 0.0000, 0.5870]],
  "space_group": "P-62m"
}



Asked for total magnetic moment across the records above, the calculation gives 0.0, 0.0, 0.0, 0.0, 0.0, 3.8 μB per cell in order.
Asked for DFT formation energy across the records above, the calculation gives -10.7, -12.4, -11.5, -8.3, -9.1, -10.0 kcal/mol of atoms in order.
Asked for uncorrected energy across the records above, the calculation gives -4.29, -3.58, -3.71, -2.77, -4.33, -4.63 eV per atom in order.